No. 1
A relaxed structure of Pa3Si, computed with PBE-GGA.

- relative energy among the computed polymorphs (eV per formula unit) = 1.207
- symmetry = Fm-3m
- Fermi-level density of states (states/eV/atom) = 2.8455
- formation energy from raw total energies (eV/atom) = 0.0000
- theoretical density (g/cm3) = 13.6
- magnetization (μB per atom) = 0.00

Lattice parameters (Å, degrees): 4.9978 4.9978 4.9978 60.00 60.00 60.00
Last column: nearest neighbours and their distance in Å.
Positions (direct):
Pa (0.0000, 0.0000, 0.0000)  8 Pa 3.06
Pa (0.2500, 0.2500, 0.2500)  4 Pa 3.06, 4 Si 3.06
Pa (0.7500, 0.7500, 0.7500)  4 Pa 3.06, 4 Si 3.06
Si (0.5000, 0.5000, 0.5000)  8 Pa 3.06

=====

No. 2
A relaxed structure of Dy3Pb2, computed with PBE-GGA.

- formation energy (eV per atom) = -0.38
- symmetry = I4_1/amd
- Fermi-level density of states (states/eV/atom) = 0.5774
- theoretical density (g/cm3) = 10.0
- magnetization (μB per atom) = 0.00

Lattice parameters (Å, degrees): 8.9286 8.9286 8.9286 139.37 139.37 58.81
Last column: nearest neighbours and their distance in Å.
Positions (direct):
Dy (0.0000, 0.0000, 0.0000)  2 Dy 3.10, 2 Pb 3.14
Dy (0.0000, 0.0000, 0.5000)  2 Dy 3.10, 2 Pb 3.14
Dy (0.0000, 0.5000, 0.0000)  2 Dy 3.10, 2 Pb 3.14
Dy (0.3750, 0.6250, 0.7500)  6 Pb 3.10-3.20
Dy (0.5000, 0.0000, 0.5000)  2 Dy 3.10, 2 Pb 3.14
Dy (0.6250, 0.3750, 0.2500)  6 Pb 3.10-3.20
Pb (0.1758, 0.4258, 0.7500)  5 Dy 3.10-3.20
Pb (0.4258, 0.1758, 0.2500)  5 Dy 3.10-3.20
Pb (0.5742, 0.8242, 0.7500)  5 Dy 3.10-3.20
Pb (0.8242, 0.5742, 0.2500)  5 Dy 3.10-3.20

=====

No. 3
A relaxed structure of Pr3Dy8Er, computed with PBE-GGA.

- formation energy (eV per atom) = 0.02
- symmetry = P1
- Fermi-level density of states (states/eV/atom) = 1.8325
- theoretical density (g/cm3) = 8.0
- magnetization (μB per atom) = 0.00

Lattice parameters (Å, degrees): 6.3129 8.5088 8.5218 84.46 68.27 68.31
Last column: nearest neighbours and their distance in Å.
Positions (direct):
Pr (0.0000, 0.0000, 0.0000)  10 Dy 3.54-3.66, 1 Er 3.55, 1 Pr 3.57
Pr (0.0004, 0.4974, 0.5024)  10 Dy 3.53-3.67, 1 Er 3.55, 1 Pr 3.58
Pr (0.6626, 0.7500, 0.2517)  10 Dy 3.56-3.69, 2 Pr 3.57-3.58
Dy (0.0004, 0.4159, 0.9187)  7 Dy 3.52-3.64, 3 Pr 3.54-3.64, 2 Er 3.62-3.66
Dy (0.3300, 0.1680, 0.1665)  7 Dy 3.52-3.66, 1 Er 3.53, 4 Pr 3.56-3.66
Dy (0.3298, 0.6640, 0.6708)  7 Dy 3.52-3.66, 1 Er 3.53, 4 Pr 3.58-3.67
Dy (0.3336, 0.0834, 0.5855)  7 Dy 3.52-3.64, 3 Pr 3.53-3.64, 2 Er 3.62-3.67
Dy (0.3373, 0.5804, 0.0820)  7 Dy 3.52-3.71, 4 Pr 3.57-3.69, 1 Er 3.61
Dy (0.6653, 0.3291, 0.3359)  7 Dy 3.51-3.66, 1 Er 3.54, 4 Pr 3.58-3.66
Dy (0.6648, 0.8336, 0.8316)  7 Dy 3.51-3.66, 1 Er 3.54, 4 Pr 3.58-3.66
Dy (0.9977, 0.9192, 0.4218)  7 Dy 3.51-3.71, 4 Pr 3.58-3.68, 1 Er 3.61
Er (0.6631, 0.2500, 0.7520)  10 Dy 3.53-3.67, 2 Pr 3.55

=====

No. 4
A relaxed structure of TaIrPt2, computed with PBE-GGA.

- relative energy among the computed polymorphs (eV per formula unit) = 1.451
- formation energy (eV per atom) = -0.27
- symmetry = R3m
- Fermi-level density of states (states/eV/atom) = 1.3165
- theoretical density (g/cm3) = 19.9
- magnetization (μB per atom) = 0.00

Lattice parameters (Å, degrees): 9.4008 9.4008 9.4008 17.23 17.23 17.23
Last column: nearest neighbours and their distance in Å.
Positions (direct):
Ta (0.0000, 0.0000, 0.0000)  3 Ir 2.75, 3 Pt 2.80, 6 Ta 2.82
Ir (0.2535, 0.2535, 0.2535)  3 Ta 2.75, 6 Ir 2.82, 3 Pt 2.87
Pt (0.5019, 0.5019, 0.5019)  9 Pt 2.82-2.90, 3 Ir 2.87
Pt (0.7489, 0.7489, 0.7489)  3 Ta 2.80, 9 Pt 2.82-2.90

=====

No. 5
A relaxed structure of Cr4TeCl, computed with PBE-GGA.

- symmetry = F-43m
- Fermi-level density of states (states/eV/atom) = 1.4014
- formation energy from raw total energies (eV/atom) = 0.8875
- theoretical density (g/cm3) = 7.0
- magnetization (μB per atom) = 0.01

Lattice parameters (Å, degrees): 5.0020 5.0020 5.0020 60.00 60.00 60.00
Last column: nearest neighbours and their distance in Å.
Positions (direct):
Cr (0.3790, 0.3790, 0.3790)  6 Cr 2.42-2.58
Cr (0.3790, 0.3790, 0.8628)  6 Cr 2.42-2.58
Cr (0.3790, 0.8628, 0.3790)  6 Cr 2.42-2.58
Cr (0.8628, 0.3790, 0.3790)  6 Cr 2.42-2.58
Te (0.0000, 0.0000, 0.0000)  12 Cr 2.94, 4 Cl 3.06
Cl (0.7500, 0.7500, 0.7500)  12 Cr 2.92, 4 Te 3.06

=====

No. 6
A relaxed structure of ScBeCo2H8, computed with PBE-GGA.

- symmetry = P-3m1
- Fermi-level density of states (states/eV/atom) = 0.2110
- theoretical density (g/cm3) = 3.3
- magnetization (μB per atom) = 0.00
- raw total energy (eV per atom) = -4.20

Lattice parameters (Å, degrees): 4.3875 4.3875 5.3698 90.00 90.00 120.00
Last column: nearest neighbours and their distance in Å.
Positions (direct):
Sc (0.0000, 0.0000, 0.0000)  6 H 1.96
Be (0.0000, 0.0000, 0.5000)  6 H 1.51
Co (0.3333, 0.6667, 0.3679)  4 H 1.49-1.54
Co (0.6667, 0.3333, 0.6321)  4 H 1.49-1.54
H (0.1427, 0.2853, 0.3032)  1 Co 1.49, 1 Be 1.51
H (0.1427, 0.8573, 0.3032)  1 Co 1.49, 1 Be 1.51
H (0.2853, 0.1427, 0.6968)  1 Co 1.49, 1 Be 1.51
H (0.3333, 0.6667, 0.0818)  1 Co 1.54
H (0.6667, 0.3333, 0.9182)  1 Co 1.54
H (0.7147, 0.8573, 0.3032)  1 Co 1.49, 1 Be 1.51
H (0.8573, 0.1427, 0.6968)  1 Co 1.49, 1 Be 1.51
H (0.8573, 0.7147, 0.6968)  1 Co 1.49, 1 Be 1.51

=====

No. 7
A relaxed structure of SrCrPd, computed with PBE-GGA.

- relative energy among the computed polymorphs (eV per formula unit) = 0.401
- formation energy (eV per atom) = 0.13
- symmetry = C2/m
- Fermi-level density of states (states/eV/atom) = 0.7967
- theoretical density (g/cm3) = 5.7
- magnetization (μB per atom) = 0.00

Lattice parameters (Å, degrees): 4.7440 4.7440 6.4815 93.76 93.76 78.11
Last column: nearest neighbours and their distance in Å.
Positions (direct):
Sr (0.2293, 0.2293, 0.3473)  5 Pd 3.14-3.35, 4 Cr 3.26-3.41
Sr (0.7707, 0.7707, 0.6527)  5 Pd 3.14-3.35, 4 Cr 3.26-3.41
Cr (0.3481, 0.6519, 0.0000)  1 Cr 1.82
Cr (0.6519, 0.3481, 0.0000)  1 Cr 1.82
Pd (0.1743, 0.1743, 0.8497)  4 Cr 2.67
Pd (0.8257, 0.8257, 0.1503)  4 Cr 2.67

=====

No. 8
A relaxed structure of KCd6As2, computed with PBE-GGA.

- formation energy (eV per atom) = -0.13
- symmetry = P4/mmm
- Fermi-level density of states (states/eV/atom) = 0.2790
- theoretical density (g/cm3) = 6.6
- magnetization (μB per atom) = 0.00

Lattice parameters (Å, degrees): 4.4845 4.4845 10.8285 90.00 90.00 90.00
Last column: nearest neighbours and their distance in Å.
Positions (direct):
K (0.0000, 0.0000, 0.0000)  8 As 3.49, 8 Cd 3.90
Cd (0.0000, 0.0000, 0.5000)  12 Cd 3.16-3.17
Cd (0.0000, 0.5000, 0.2944)  2 As 2.83, 8 Cd 3.16-3.17
Cd (0.0000, 0.5000, 0.7056)  2 As 2.83, 8 Cd 3.16-3.17
Cd (0.5000, 0.0000, 0.2944)  2 As 2.83, 8 Cd 3.16-3.17
Cd (0.5000, 0.0000, 0.7056)  2 As 2.83, 8 Cd 3.16-3.17
Cd (0.5000, 0.5000, 0.5000)  12 Cd 3.16-3.17
As (0.5000, 0.5000, 0.1346)  4 Cd 2.83, 1 As 2.91
As (0.5000, 0.5000, 0.8654)  4 Cd 2.83, 1 As 2.91

=====

No. 9
A relaxed structure of YCrBr2, computed with PBE-GGA.

- relative energy among the computed polymorphs (eV per formula unit) = 1.113
- symmetry = P2/m
- Fermi-level density of states (states/eV/atom) = 0.7385
- formation energy from raw total energies (eV/atom) = -0.3022
- theoretical density (g/cm3) = 4.8
- magnetization (μB per atom) = 1.05

Lattice parameters (Å, degrees): 3.7094 4.6171 6.0428 90.00 91.81 90.00
Last column: nearest neighbours and their distance in Å.
Positions (direct):
Y (0.0000, 0.0000, 0.0000)  4 Br 2.93
Cr (0.5000, 0.0000, 0.5000)  4 Br 2.86
Br (0.2713, 0.5000, 0.2546)  2 Cr 2.86, 2 Y 2.93
Br (0.7287, 0.5000, 0.7454)  2 Cr 2.86, 2 Y 2.93

=====

No. 10
A relaxed structure of LuNiH3, computed with PBE-GGA.

- symmetry = Pm-3m
- Fermi-level density of states (states/eV/atom) = 0.1362
- theoretical density (g/cm3) = 9.5
- magnetization (μB per atom) = 0.00
- raw total energy (eV per atom) = -4.51

Lattice parameters (Å, degrees): 3.4606 3.4606 3.4606 90.00 90.00 90.00
Last column: nearest neighbours and their distance in Å.
Positions (direct):
Lu (0.0000, 0.0000, 0.0000)  12 H 2.45
Ni (0.5000, 0.5000, 0.5000)  6 H 1.73
H (0.0000, 0.5000, 0.5000)  2 Ni 1.73
H (0.5000, 0.0000, 0.5000)  2 Ni 1.73
H (0.5000, 0.5000, 0.0000)  2 Ni 1.73